(1)
The following is a PBE calculation of crystalline BaSnS2O8 at its relaxed geometry, from the Alexandria database.

Properties
formation energy without anion corrections = -1770 meV per atom

Cell and atoms, written as extended XYZ:
```
12
Lattice="5.308 0.000 0.000 -2.654 4.597 0.000 0.000 0.000 8.310" Properties=species:S:1:pos:R:3 pbc="T T T"
Ba 0.000 0.000 0.000
Sn 0.000 0.000 4.155
S 0.000 3.064 6.422
S 2.654 1.532 1.888
O -0.368 1.697 5.942
O -1.001 4.067 5.942
O 0.000 3.064 7.913
O 1.285 1.167 2.368
O 1.368 3.430 5.942
O 2.654 1.532 0.397
O 3.655 0.530 2.368
O 3.022 2.900 2.368
```

(2)
The following is a PBE calculation of crystalline Pm4BePb2 at its relaxed geometry, from the Alexandria database.

Properties
DFT total energy = -31.30 eV/f.u.

Cell and atoms, written as extended XYZ:
```
7
Lattice="-2.532 2.532 8.515 2.532 -2.532 8.515 2.532 2.532 -8.515" Properties=species:S:1:pos:R:3 pbc="T T T"
Pm 2.532 0.000 0.000
Pm 0.000 0.000 2.947
Pm 0.000 2.532 0.000
Pm 0.000 0.000 14.084
Be 0.000 0.000 0.000
Pb 0.000 0.000 6.179
Pb 0.000 0.000 10.852
```

(3)
The following is a PBE calculation of crystalline Rb3Pm3RhO8 at its relaxed geometry, from the Alexandria database.

Properties
formation energy without anion corrections = -2183 meV per atom

Cell and atoms, written as extended XYZ:
```
15
Lattice="3.503 2.022 6.604 -3.503 2.022 6.604 0.000 -4.045 6.604" Properties=species:S:1:pos:R:3 pbc="T T T"
Rb -1.751 -1.011 6.604
Rb -1.751 1.011 13.208
Rb 0.000 2.022 6.604
Pm -3.503 0.000 9.906
Pm -1.751 1.011 3.302
Pm 1.751 1.011 3.302
Rh 0.000 0.000 9.906
O 0.000 0.000 4.481
O -1.579 -0.912 11.004
O 0.000 -1.824 8.808
O -1.579 0.912 8.808
O 1.579 -0.912 11.004
O 0.000 1.824 11.004
O 1.579 0.912 8.808
O 0.000 0.000 15.331
```

(4)
The following is a PBE calculation of crystalline Tb6Y2Tm3Tl at its relaxed geometry, from the Alexandria database.

Properties
DFT total energy = -56.67 eV/f.u.

Cell and atoms, written as extended XYZ:
```
12
Lattice="3.039 -5.269 0.000 3.039 5.269 0.000 -2.040 0.000 11.474" Properties=species:S:1:pos:R:3 pbc="T T T"
Tb -0.023 1.736 8.614
Tb 0.989 0.000 2.843
Tb -0.023 -1.736 8.614
Tb 4.061 1.736 2.860
Tb 3.049 0.000 8.631
Tb 4.061 -1.736 2.860
Y 2.019 1.749 5.737
Y 2.019 -1.749 5.737
Tm 3.039 3.508 0.000
Tm 3.039 0.000 0.000
Tm 3.039 -3.508 0.000
Tl -1.020 0.000 5.737
```

Calculated magnetic moment in order - 0.0 0.2 1.1 0.0 μB/cell